This record from OQMD describes a relaxed RbHoAsO crystal. The functional is GGA-PBE.

The space group is P4/nmm (No. 129, origin choice 2) and the conventional cell measures 4.1252, 4.1252 and 10.9093 Å, with angles of 90.00, 90.00 and 90.00 degrees. The inequivalent atoms are Rb at (0.2500, 0.7500, 0.0000), Ho at (0.2500, 0.2500, 0.4127), As at (0.2500, 0.2500, 0.7604) and O at (0.2500, 0.7500, 0.5000).

The calculation puts the energy above the most stable polymorph in this dataset at 208 meV per atom.